ScBe9Al2: relaxed, GGA-PBE.

Calculated values
- Total magnetization: 0.000 μB/f.u.
- Formation enthalpy at 0 K: -1.46 eV per formula unit
- Final energy: -4.068 eV/atom

a b c (Å): 4.4730 4.4730 7.5362
angles (deg): 72.74 72.74 60.00
With the nearest neighbours (Å) after each atom.
Fractional positions:
Sc1 0.0000 0.0000 0.0000  18 Be 2.58-2.86
Be1 0.6688 0.6688 0.9937  6 Be 2.16-2.23
Be2 0.3312 0.3312 0.0063  6 Be 2.16-2.23
Be3 0.5000 0.5000 0.5000  6 Be 2.18
Be4 0.4164 0.4164 0.2512  7 Be 2.16-2.24
Be5 0.9160 0.4164 0.2512  7 Be 2.16-2.24
Be6 0.4164 0.9160 0.2512  7 Be 2.16-2.24
Be7 0.5836 0.5836 0.7488  7 Be 2.16-2.24
Be8 0.5836 0.0840 0.7488  7 Be 2.16-2.24
Be9 0.0840 0.5836 0.7488  7 Be 2.16-2.24
Al1 0.8598 0.8598 0.4206  12 Be 2.54-2.66, 3 Al 2.82
Al2 0.1402 0.1402 0.5794  12 Be 2.54-2.66, 3 Al 2.82